Computed, not measured: TcSn2P2 after structural relaxation at the PBE level of DFT.

Results
total DFT energy (no corrections) = -5.81 eV per atom
calculated volume = 193.96 Å³ per cell
E_form = 2.3 kJ per mole of atoms

Cell: 6.1264 6.1264 5.1676 Å, 90.00 90.00 90.00°
Space group P4/mbm (No. 127)
One atom of each set of equivalent atoms:
Tc  0.0000  0.0000  0.0000 x2
Sn  0.1874  0.3126  0.5000 x4
P  0.1329  0.6329  0.0000 x4

---

Computed, not measured: Tc3SnP after structural relaxation at the PBE level of DFT.

Results
total DFT energy (no corrections) = -7.81 eV per atom
calculated volume = 85.87 Å³ per cell
E above lowest polymorph = 0.000 eV per atom
E_form = 27.8 kJ per mole of atoms

Cell: 4.4117 4.4117 4.4117 Å, 90.00 90.00 90.00°
Space group Pm-3m (No. 221)
One atom of each set of equivalent atoms:
Tc  0.0000  0.0000  0.5000 x3
Sn  0.5000  0.5000  0.5000 x1
P  0.0000  0.0000  0.0000 x1

---

Computed, not measured: TcSnP3 after structural relaxation at the PBE level of DFT.

Results
total DFT energy (no corrections) = -5.66 eV per atom
calculated volume = 102.13 Å³ per cell
E above lowest polymorph = 0.000 eV per atom
E_form = 44.8 kJ per mole of atoms

Cell: 4.6742 4.6742 4.6742 Å, 90.00 90.00 90.00°
Space group Pm-3m (No. 221)
One atom of each set of equivalent atoms:
Tc  0.0000  0.0000  0.0000 x1
Sn  0.5000  0.5000  0.5000 x1
P  0.0000  0.0000  0.5000 x3

---

Computed, not measured: Tc2SnP after structural relaxation at the PBE level of DFT.

Results
total DFT energy (no corrections) = -7.39 eV per atom
calculated volume = 275.02 Å³ per cell
E above lowest polymorph = 0.224 eV per atom
E_form = 14.2 kJ per mole of atoms

Cell: 7.1283 7.1283 5.4124 Å, 90.00 90.00 90.00°
Space group I-42d (No. 122)
One atom of each set of equivalent atoms:
Tc  0.1688  0.2500  0.1250 x8
Sn  0.0000  0.0000  0.5000 x4
P  0.0000  0.0000  0.0000 x4

---

Computed, not measured: TcSnPW2 after structural relaxation at the PBE level of DFT.

Results
total DFT energy (no corrections) = -7.38 eV per atom
calculated volume = 113.39 Å³ per cell
E_form = 169.9 kJ per mole of atoms

Cell: 4.7693 4.7693 4.9848 Å, 90.00 90.00 90.00°
Space group P4/mmm (No. 123)
One atom of each set of equivalent atoms:
Tc  0.0000  0.0000  0.0000 x1
Sn  0.0000  0.0000  0.5000 x1
P  0.5000  0.5000  0.5000 x1
W  0.0000  0.5000  0.0000 x2

---

Computed, not measured: Sn2Te4P after structural relaxation at the PBE level of DFT.

Results
total DFT energy (no corrections) = -3.56 eV per atom
calculated volume = 436.98 Å³ per cell
ΔE_f (raw) = 0.147 eV per atom

Cell: 5.3322 5.3322 15.3693 Å, 90.00 90.00 90.00°
Space group I4/mmm (No. 139)
One atom of each set of equivalent atoms:
Sn  0.0000  0.0000  0.1266 x4
Te  0.0000  0.0000  0.3230 x4
Te  0.0000  0.5000  0.0000 x4
P  0.0000  0.0000  0.5000 x2